(1)
DFT (PBE-GGA) results for a relaxed ZnRe2H crystal.

```
ZnRe2H
1.0
-2.9665 2.9665 2.7345
2.9665 -2.9665 2.7345
2.9665 2.9665 -2.7345
Zn Re H
2 4 2
direct
0.0000 0.0000 0.0000
0.7500 0.2500 0.5000
0.2362 0.6250 0.1112
0.3750 0.4862 0.6112
0.5138 0.1250 0.8888
0.8750 0.7638 0.3888
0.2500 0.7500 0.5000
0.5000 0.5000 0.0000
```

As for the uncorrected energy: -6.847 eV per atom. For the relative energy among the computed polymorphs, the calculation gives 0 meV per atom. The calculated volume is 48.1 Å³/f.u.


(2)
DFT (PBE-GGA) results for a relaxed GaCu2I8 crystal.

```
GaCu2I8
1.0
6.0461 -6.0577 0.0000
6.0461 6.0577 0.0000
-2.1012 0.0000 6.6994
Ga Cu I
1 2 8
direct
0.0000 0.0000 0.0000
0.1980 0.1980 0.6789
0.8020 0.8020 0.3211
0.0586 0.7441 0.1819
0.2262 0.2262 0.3353
0.2559 0.9414 0.8181
0.4255 0.4255 0.7977
0.5745 0.5745 0.2023
0.7441 0.0586 0.1819
0.7738 0.7738 0.6647
0.9414 0.2559 0.8181
```

As for the uncorrected energy: -2.299 eV per atom. Its formation energy from raw total energies is -0.1514 eV per atom. For the relative energy among the computed polymorphs, the calculation gives 0 meV per atom. The calculated volume is 490.7 Å³/f.u.


(3)
DFT (PBE-GGA) results for a relaxed La2TaFePt crystal.

```
La2TaFePt
1.0
5.2071 0.0000 0.0000
0.0000 5.2071 0.0000
0.0000 0.0000 4.5636
La Ta Fe Pt
2 1 1 1
direct
0.0000 0.5000 0.0000
0.5000 0.0000 0.0000
0.0000 0.0000 0.5000
0.0000 0.0000 0.0000
0.5000 0.5000 0.5000
```

As for the uncorrected energy: -7.013 eV per atom. The calculated formation energy comes out at 229 meV/atom. The calculated volume is 123.7 Å³/f.u.